This record from Alexandria describes a relaxed structure of CaPPb. The functional is GGA-PBE.

Summary:
* E_form: -0.300 eV/atom
* space group: I4mm, No. 107
* calculated density: 6.0 g/cm³
* spin magnetization: 0.00 μB per formula unit
* raw total energy: -4.007 eV per atom

Cell lengths 6.181, 6.181, 6.181 Å; angles 145.20, 145.20, 50.04 degrees
Fractional coordinates of all 3 atoms:
Ca  0.000  0.000  0.000
P  0.355  0.355  0.000
Pb  0.724  0.724  0.000